(1)
Material: PaMnAlCr
Method: DFT, PBE
State: optimized geometry

```
data_PaMnAlCr
_chemical_formula_sum 'Pa4 Mn4 Al4 Cr4'
_cell_length_a 6.298
_cell_length_b 6.298
_cell_length_c 6.298
_cell_angle_alpha 90.00
_cell_angle_beta 90.00
_cell_angle_gamma 90.00
_symmetry_space_group_name_H-M 'F -4 3 m'
_symmetry_Int_Tables_number 216
_symmetry_space_group_name_Hall 'F -4 2 3'
loop_
_atom_site_label
_atom_site_type_symbol
_atom_site_fract_x
_atom_site_fract_y
_atom_site_fract_z
Pa1 Pa 0.000 0.000 0.000
Mn1 Mn 0.250 0.250 0.750
Al1 Al 0.000 0.000 0.500
Cr1 Cr 0.250 0.250 0.250
```

Properties
The value obtained for the density of states at the Fermi level is 12.32 states/eV/cell. The value obtained for the total energy is -129.503 eV/cell.

(2)
Material: PuMnAlCr
Method: DFT, PBE
State: optimized geometry

```
data_PuMnAlCr
_chemical_formula_sum 'Pu4 Mn4 Al4 Cr4'
_cell_length_a 6.228
_cell_length_b 6.228
_cell_length_c 6.228
_cell_angle_alpha 90.00
_cell_angle_beta 90.00
_cell_angle_gamma 90.00
_symmetry_space_group_name_H-M 'F -4 3 m'
_symmetry_Int_Tables_number 216
_symmetry_space_group_name_Hall 'F -4 2 3'
loop_
_atom_site_label
_atom_site_type_symbol
_atom_site_fract_x
_atom_site_fract_y
_atom_site_fract_z
Pu1 Pu 0.000 0.000 0.000
Mn1 Mn 0.250 0.250 0.750
Al1 Al 0.000 0.000 0.500
Cr1 Cr 0.250 0.250 0.250
```

Properties
The value obtained for the density of states at the Fermi level is 28.58 states/eV/cell. The value obtained for the total energy is -147.477 eV/cell.

(3)
Material: MnAlCrRe
Method: DFT, PBE
State: optimized geometry

```
data_MnAlCrRe
_chemical_formula_sum 'Mn4 Al4 Cr4 Re4'
_cell_length_a 5.900
_cell_length_b 5.900
_cell_length_c 5.900
_cell_angle_alpha 90.00
_cell_angle_beta 90.00
_cell_angle_gamma 90.00
_symmetry_space_group_name_H-M 'F -4 3 m'
_symmetry_Int_Tables_number 216
_symmetry_space_group_name_Hall 'F -4 2 3'
loop_
_atom_site_label
_atom_site_type_symbol
_atom_site_fract_x
_atom_site_fract_y
_atom_site_fract_z
Mn1 Mn 0.000 0.000 0.000
Al1 Al 0.250 0.250 0.250
Cr1 Cr 0.000 0.000 0.500
Re1 Re 0.250 0.250 0.750
```

Properties
The value obtained for the density of states at the Fermi level is 15.79 states/eV/cell. The value obtained for the total energy is -141.702 eV/cell.

(4)
Material: MnAlCrRh
Method: DFT, PBE
State: optimized geometry

```
data_MnAlCrRh
_chemical_formula_sum 'Mn4 Al4 Cr4 Rh4'
_cell_length_a 6.012
_cell_length_b 6.012
_cell_length_c 6.012
_cell_angle_alpha 90.00
_cell_angle_beta 90.00
_cell_angle_gamma 90.00
_symmetry_space_group_name_H-M 'F -4 3 m'
_symmetry_Int_Tables_number 216
_symmetry_space_group_name_Hall 'F -4 2 3'
loop_
_atom_site_label
_atom_site_type_symbol
_atom_site_fract_x
_atom_site_fract_y
_atom_site_fract_z
Mn1 Mn 0.000 0.000 0.000
Al1 Al 0.000 0.000 0.500
Cr1 Cr 0.250 0.250 0.250
Rh1 Rh 0.250 0.250 0.750
```

Properties
The value obtained for the density of states at the Fermi level is 8.73 states/eV/cell. The value obtained for the total energy is -125.526 eV/cell.

(5)
Material: MnAlCr2Ru
Method: DFT, PBE
State: optimized geometry

```
data_MnAlCr2Ru
_chemical_formula_sum 'Mn1 Al1 Cr2 Ru1'
_cell_length_a 4.551
_cell_length_b 4.551
_cell_length_c 4.804
_cell_angle_alpha 90.00
_cell_angle_beta 90.00
_cell_angle_gamma 90.00
_symmetry_space_group_name_H-M 'P 4/m m m'
_symmetry_Int_Tables_number 123
_symmetry_space_group_name_Hall '-P 4 2'
loop_
_atom_site_label
_atom_site_type_symbol
_atom_site_fract_x
_atom_site_fract_y
_atom_site_fract_z
Mn1 Mn 0.000 0.000 0.000
Al1 Al 0.500 0.500 0.000
Cr1 Cr 0.000 0.500 0.500
Ru1 Ru 0.000 0.000 0.500
```

Properties
The value obtained for the density of states at the Fermi level is 5.06 states/eV/cell. The value obtained for the total energy is -35.532 eV/cell.

(6)
Material: Ta2MnAlCr
Method: DFT, PBE
State: optimized geometry

```
data_Ta2MnAlCr
_chemical_formula_sum 'Ta2 Mn1 Al1 Cr1'
_cell_length_a 4.532
_cell_length_b 4.532
_cell_length_c 4.372
_cell_angle_alpha 90.00
_cell_angle_beta 90.00
_cell_angle_gamma 90.00
_symmetry_space_group_name_H-M 'P 4/m m m'
_symmetry_Int_Tables_number 123
_symmetry_space_group_name_Hall '-P 4 2'
loop_
_atom_site_label
_atom_site_type_symbol
_atom_site_fract_x
_atom_site_fract_y
_atom_site_fract_z
Ta1 Ta 0.000 0.500 0.000
Mn1 Mn 0.000 0.000 0.000
Al1 Al 0.000 0.000 0.500
Cr1 Cr 0.500 0.500 0.500
```

Properties
The value obtained for the density of states at the Fermi level is 7.08 states/eV/cell. Its energy above the most stable polymorph in this dataset is 172 meV per atom. The value obtained for the total energy is -40.923 eV/cell.

(7)
Material: Ta2MnAlCr
Method: DFT, PBE
State: optimized geometry

```
data_Ta2MnAlCr
_chemical_formula_sum 'Ta2 Mn1 Al1 Cr1'
_cell_length_a 4.645
_cell_length_b 4.645
_cell_length_c 4.159
_cell_angle_alpha 90.00
_cell_angle_beta 90.00
_cell_angle_gamma 90.00
_symmetry_space_group_name_H-M 'P 4/m m m'
_symmetry_Int_Tables_number 123
_symmetry_space_group_name_Hall '-P 4 2'
loop_
_atom_site_label
_atom_site_type_symbol
_atom_site_fract_x
_atom_site_fract_y
_atom_site_fract_z
Ta1 Ta 0.000 0.500 0.000
Mn1 Mn 0.000 0.000 0.500
Al1 Al 0.500 0.500 0.500
Cr1 Cr 0.000 0.000 0.000
```

Properties
The value obtained for the density of states at the Fermi level is 4.34 states/eV/cell. Its energy above the most stable polymorph in this dataset is 0 meV per atom. The value obtained for the total energy is -41.783 eV/cell.

(8)
Material: MnAlCrTc
Method: DFT, PBE
State: optimized geometry

```
data_MnAlCrTc
_chemical_formula_sum 'Mn4 Al4 Cr4 Tc4'
_cell_length_a 5.915
_cell_length_b 5.915
_cell_length_c 5.915
_cell_angle_alpha 90.00
_cell_angle_beta 90.00
_cell_angle_gamma 90.00
_symmetry_space_group_name_H-M 'F -4 3 m'
_symmetry_Int_Tables_number 216
_symmetry_space_group_name_Hall 'F -4 2 3'
loop_
_atom_site_label
_atom_site_type_symbol
_atom_site_fract_x
_atom_site_fract_y
_atom_site_fract_z
Mn1 Mn 0.000 0.000 0.000
Al1 Al 0.250 0.250 0.750
Cr1 Cr 0.250 0.250 0.250
Tc1 Tc 0.000 0.000 0.500
```

Properties
The value obtained for the density of states at the Fermi level is 13.89 states/eV/cell. The value obtained for the total energy is -134.087 eV/cell.